## Rb3Cr2Cl2F5 (GGA+U)

Data for a relaxed structure of Rb3Cr2Cl2F5.

Lattice parameters (Å, degrees): 12.366 12.366 12.366 159.02 159.02 29.84
Fractional positions:
Rb 0.000 0.000 0.000
Rb 0.167 0.167 0.000
Rb 0.833 0.833 0.000
Cr 0.415 0.415 0.000
Cr 0.585 0.585 0.000
Cl 0.312 0.312 0.000
Cl 0.688 0.688 0.000
F 0.084 0.584 0.500
F 0.416 0.916 0.500
F 0.500 0.500 0.000
F 0.584 0.084 0.500
F 0.916 0.416 0.500

***

## Rb2CrCl6F (GGA+U)

Data for a relaxed structure of Rb2CrCl6F.

Lattice parameters (Å, degrees): 7.159 7.159 7.159 114.16 114.16 100.45
Fractional positions:
Rb 0.250 0.750 0.500
Rb 0.750 0.250 0.500
Cr 0.000 0.000 0.000
Cl 0.213 0.213 0.426
Cl 0.213 0.787 0.000
Cl 0.275 0.275 0.000
Cl 0.725 0.725 0.000
Cl 0.787 0.213 0.000
Cl 0.787 0.787 0.574
F 0.500 0.500 0.000

***

## CrS2ClF (GGA+U)

Data for a relaxed structure of CrS2ClF.

Summary:
**Distance to the lowest polymorph of the same formula**: 0 meV/atom

Lattice parameters (Å, degrees): 4.090 4.090 5.888 90.00 90.00 90.00
Fractional positions:
Cr 0.000 0.000 0.000
S 0.000 0.500 0.500
S 0.500 0.000 0.500
Cl 0.500 0.500 0.000
F 0.500 0.500 0.500

***

## CrS2ClF (GGA+U)

Data for a relaxed structure of CrS2ClF.

Summary:
**Distance to the lowest polymorph of the same formula**: 62 meV/atom

Lattice parameters (Å, degrees): 4.376 4.376 4.673 90.00 90.00 90.00
Fractional positions:
Cr 0.000 0.000 0.000
S 0.000 0.500 0.000
S 0.500 0.000 0.000
Cl 0.000 0.000 0.500
F 0.500 0.500 0.500

***

| no. | total DFT energy (no corrections) (eV per atom) |
| --- | --- |
| 1 | -4.947 |
| 2 | -3.434 |
| 3 | -3.604 |
| 4 | -3.542 |